The following is a PBE calculation of crystalline Li5SI2Br at its relaxed geometry, from Alexandria via LeMat-Bulk.

```
Li5SI2Br
1.0
-2.288 3.417 7.038
2.288 -3.417 7.038
2.288 3.417 -7.038
Li S I Br
5 1 2 1
Direct
0.000 0.000 0.000 Li
0.120 0.379 0.741 Li
0.362 0.621 0.741 Li
0.638 0.379 0.259 Li
0.880 0.621 0.259 Li
0.000 0.500 0.500 S
0.226 0.226 0.000 I
0.774 0.774 0.000 I
0.500 0.000 0.500 Br
```

## Properties
Spin magnetization (μB per formula unit): 0.0
Formation energy (no corrections) (kJ per mole of atoms): -116.7